(i)
VASP calculation (PBE-GGA) on K2CrOs after structural relaxation.

Geometry as POSCAR:
```
K2CrOs
1.0
2.979 0.000 0.000
0.000 3.803 0.000
-0.805 0.000 10.206
K Cr Os
2 1 1
Cartesian
0.000 0.000 0.000
0.651 1.901 4.252
0.673 1.901 7.513
2.158 0.000 6.897
```

Properties
Its volume is 115.6 Å³/cell. As for the symmetry: Pm, No. 6.

(ii)
VASP calculation (PBE-GGA) on K2CrOs after structural relaxation.

Geometry as POSCAR:
```
K2CrOs
1.0
3.928 0.000 0.000
0.000 3.928 0.000
0.000 0.000 5.726
K Cr Os
2 1 1
Cartesian
0.000 1.964 0.000
1.964 0.000 0.000
0.000 0.000 2.863
1.964 1.964 2.863
```

Properties
Its volume is 88.3 Å³/cell. As for the symmetry: P4/mmm, No. 123.

The least stable of the structures above is (ii), whereas (i) is the most stable.